! Pr4YHo (GGA-PBE, relaxed); values from VASP
! Space-group type: Cmmm, No. 65
! Volume, Å³ per cell: 246.0
! E, eV per atom: -4.43
! Total moment, μB/atom: 0.00
&SYSTEM
  ibrav = 0, nat = 6, ntyp = 3
/
ATOMIC_SPECIES
Pr 140.91 Pr.upf
Y 88.91 Y.upf
Ho 164.93 Ho.upf
ATOMIC_POSITIONS angstrom
Pr 0.744 3.657 5.677
Pr 4.907 2.493 7.123
Pr -1.006 -0.346 4.376
Pr 3.157 -1.510 5.822
Y 3.222 1.637 4.677
Ho -1.271 -0.563 1.073
CELL_PARAMETERS angstrom
-2.542 -1.127 2.146
5.728 -3.728 4.828
0.716 7.002 4.525